Record 1
# CaDy2O4

CaDy2O4 after structural relaxation (PBE, the Alexandria database).

abc: 9.8881 3.3907 11.8255
angles: 90.00 90.00 90.00
With the nearest neighbours (Å) after each atom.
Sites, in units of the cell vectors:
Ca  0.2440  0.2500  0.1456  7 O 2.50-2.64
Ca  0.2560  0.7500  0.6456  7 O 2.50-2.64
Ca  0.7440  0.2500  0.3544  7 O 2.50-2.64
Ca  0.7560  0.7500  0.8544  7 O 2.50-2.64
Dy  0.0734  0.2500  0.8864  6 O 2.19-2.38
Dy  0.0836  0.2500  0.3878  6 O 2.23-2.34
Dy  0.4164  0.7500  0.8878  6 O 2.23-2.34
Dy  0.4266  0.7500  0.3864  6 O 2.19-2.38
Dy  0.5734  0.2500  0.6136  6 O 2.19-2.38
Dy  0.5836  0.2500  0.1122  6 O 2.23-2.34
Dy  0.9164  0.7500  0.6122  6 O 2.23-2.34
Dy  0.9266  0.7500  0.1136  6 O 2.19-2.38
O  0.0035  0.2500  0.2111  3 Dy 2.19-2.23
O  0.0752  0.2500  0.5827  3 Dy 2.31-2.34, 2 Ca 2.57
O  0.1355  0.7500  0.0183  3 Dy 2.35-2.38, 2 Ca 2.51
O  0.2171  0.7500  0.3151  3 Dy 2.24-2.31
O  0.2829  0.2500  0.8151  3 Dy 2.24-2.31
O  0.3645  0.2500  0.5183  3 Dy 2.35-2.38, 2 Ca 2.51
O  0.4248  0.7500  0.0827  3 Dy 2.31-2.34, 2 Ca 2.57
O  0.4965  0.7500  0.7111  3 Dy 2.19-2.23
O  0.5035  0.2500  0.2889  3 Dy 2.19-2.23
O  0.5752  0.2500  0.9173  3 Dy 2.31-2.34, 2 Ca 2.57
O  0.6355  0.7500  0.4817  3 Dy 2.35-2.38, 2 Ca 2.51
O  0.7171  0.7500  0.1849  3 Dy 2.24-2.31
O  0.7829  0.2500  0.6849  3 Dy 2.24-2.31
O  0.8645  0.2500  0.9817  3 Dy 2.35-2.38, 2 Ca 2.51
O  0.9248  0.7500  0.4173  3 Dy 2.31-2.34, 2 Ca 2.57
O  0.9965  0.7500  0.7889  3 Dy 2.19-2.23

Output
Volume, Å³/cell: 396
Calculated density, Mg/m³: 7.2
Total magnetic moment, μB per atom: 0.0000
Energy relative to the elements, uncorrected, eV/atom: -3.344
Crystal system: orthorhombic
Excess energy over the best structure of this formula in the dataset, meV/atom: 0


Record 2
# Re2MoSe

Re2MoSe after structural relaxation (PBE, the Alexandria database).

abc: 5.2107 5.2107 2.8998
angles: 102.64 102.64 118.35
With the nearest neighbours (Å) after each atom.
Sites, in units of the cell vectors:
Re  0.0000  0.5000  0.0000  6 Re 2.67-2.99, 2 Mo 2.69, 2 Se 2.69
Re  0.5000  0.0000  0.0000  6 Re 2.67-2.99, 2 Se 2.69, 2 Mo 2.69
Mo  0.0000  0.0000  0.5000  4 Se 2.67-2.99, 4 Re 2.69, 2 Mo 2.90
Se  0.5000  0.5000  0.5000  4 Mo 2.67-2.99, 4 Re 2.69, 2 Se 2.90

Output
Volume, Å³/cell: 63
Calculated density, Mg/m³: 14.5
Total magnetic moment, μB per atom: 0.0000
Energy relative to the elements, uncorrected, eV/atom: 0.587
Crystal system: monoclinic


Record 3
# ErBN2

ErBN2 after structural relaxation (PBE, the Alexandria database).

abc: 5.4027 5.4027 5.4027
angles: 38.78 38.78 38.78
With the nearest neighbours (Å) after each atom.
Sites, in units of the cell vectors:
Er  0.0000  0.0000  0.0000  6 N 2.37
B  0.5000  0.5000  0.5000  2 N 1.34
N  0.4104  0.4104  0.4104  1 B 1.34
N  0.5896  0.5896  0.5896  1 B 1.34

Output
Volume, Å³/cell: 56
Calculated density, Mg/m³: 6.2
Total magnetic moment, μB per atom: 0.0000
Energy relative to the elements, uncorrected, eV/atom: -1.412
Crystal system: trigonal


What is the formula in the third record?
ErBN2